# 1
This record from Alexandria describes a relaxed TlPb2Au crystal. The functional is PBE-GGA.

Structure (POSCAR):
```
TlPb2Au
1.0
0.000 3.792 3.792
3.792 0.000 3.792
3.792 3.792 0.000
Tl Pb Au
1 2 1
Cartesian
0.000 0.000 0.000
1.896 1.896 1.896
5.688 5.688 5.688
3.792 3.792 3.792
```

Properties
Relative energy among the computed polymorphs: 130 meV/atom

# 2
This record from Alexandria describes a relaxed Tl3PbAu4 crystal. The functional is PBE-GGA.

Structure (POSCAR):
```
Tl3PbAu4
1.0
6.360 -3.008 0.000
6.360 3.008 0.000
-2.840 0.000 5.500
Tl Pb Au
3 1 4
Cartesian
0.000 0.000 0.000
7.094 -1.796 3.536
2.786 -1.796 1.964
4.940 1.751 2.750
2.518 1.033 1.134
5.082 -0.069 0.511
7.362 1.033 4.367
4.798 -0.069 4.989
```

# 3
This record from Alexandria describes a relaxed Tl3Pb2Au4 crystal. The functional is PBE-GGA.

Structure (POSCAR):
```
Tl3Pb2Au4
1.0
5.464 -2.326 0.000
5.464 2.326 0.000
-2.884 0.000 9.452
Tl Pb Au
3 2 4
Cartesian
0.000 0.000 0.000
2.441 0.000 5.440
5.604 0.000 4.011
3.226 0.000 1.573
4.818 0.000 7.879
-0.677 0.000 5.896
1.216 0.000 8.136
6.828 0.000 1.316
8.721 0.000 3.556
```

# 4
This record from Alexandria describes a relaxed TlPb3Au3 crystal. The functional is PBE-GGA.

Structure (POSCAR):
```
TlPb3Au3
1.0
3.888 2.245 7.115
-3.888 2.245 7.115
0.000 -4.490 7.115
Tl Pb Au
2 6 6
Cartesian
0.000 0.000 1.785
0.000 0.000 19.559
-2.104 -1.214 9.389
0.000 -2.429 11.955
-2.104 1.214 11.955
2.104 -1.214 9.389
0.000 2.429 9.389
2.104 1.214 11.955
0.000 -1.681 7.297
-1.456 0.841 7.297
-1.456 -0.841 14.047
1.456 0.841 7.297
1.456 -0.841 14.047
0.000 1.681 14.047
```

Properties
Relative energy among the computed polymorphs: 0 meV/atom

no.,N(E_F) (states/eV per cell),energy of formation (meV/atom),M_tot (μB per cell)
1,0.28,64,0.00
2,2.82,18,0.00
3,4.74,-6,0.00
4,7.66,-43,0.00